# 1
First-principles (meta-GGA SCAN) data for BaCoRu2 at its PBEsol-relaxed geometry, as listed in the Alexandria database.

## Properties
- calculated density (g cm⁻³) = 8.81
- energy relative to the lowest polymorph listed for this composition (eV per atom) = 0.1972
- space-group type = P2/m (10)
- E_tot (eV/atom) = -30.7911

Cell lengths 2.908, 3.996, 6.551 Å; angles 90.00, 99.44, 90.00 degrees
Atoms (fractional coordinates):
Ba (0.000, 0.000, 0.000)
Co (0.500, 0.000, 0.500)
Ru (0.273, 0.500, 0.663)
Ru (0.727, 0.500, 0.337)

---

# 2
First-principles (meta-GGA SCAN) data for Tl2ZnPb at its PBEsol-relaxed geometry, as listed in the Alexandria database.

## Properties
- calculated density (g cm⁻³) = 11.17
- energy relative to the lowest polymorph listed for this composition (eV per atom) = 0.0000
- space-group type = P4mm (99)
- E_tot (eV/atom) = -58.3906

Cell lengths 3.465, 3.465, 8.438 Å; angles 90.00, 90.00, 90.00 degrees
Atoms (fractional coordinates):
Tl (0.000, 0.000, 0.000)
Tl (0.500, 0.500, 0.284)
Zn (0.000, 0.000, 0.496)
Pb (0.500, 0.500, 0.709)

---

For the records above, the corresponding E_form values read 80.6; 10.9 kJ per mole of atoms.